Entry 1:
DFT (PBE-GGA) results for a relaxed Ti2GaRuPb crystal.

Crystal system: tetragonal
DOS at the Fermi energy: 1.787 states/eV per atom
ΔH_f (0 K): 8.78 eV per formula unit

a b c (Å): 5.0694 5.0694 4.8945
angles (deg): 90.00 90.00 90.00
With the nearest neighbours (Å) after each atom.
Space group P4/mmm (No. 123)
Inequivalent atoms, fractional coordinates:
Ti 0.0000 0.5000 0.0000 [2 per cell]  2 Pb 2.53
Ga 0.0000 0.0000 0.5000 [1 per cell]  2 Pb 2.45
Ru 0.5000 0.5000 0.5000 [1 per cell]  8 Ti 3.52, 4 Ga 3.58
Pb 0.0000 0.0000 0.0000 [1 per cell]  2 Ga 2.45, 4 Ti 2.53


Entry 2:
DFT (PBE-GGA) results for a relaxed Li8Tl2Ga crystal.

Energy above the lowest structure with this stoichiometry: 62 meV/atom
Crystal system: monoclinic
DOS at the Fermi energy: 0.437 states/eV per atom
ΔH_f (0 K): -1.52 eV per formula unit

a b c (Å): 7.3780 13.5571 4.8701
angles (deg): 90.00 121.95 90.00
With the nearest neighbours (Å) after each atom.
Space group C2/m (No. 12)
Inequivalent atoms, fractional coordinates:
Li 0.0000 0.1995 0.0000 [4 per cell]  1 Ga 2.70, 2 Tl 2.85, 2 Li 3.00
Li 0.1004 0.5000 0.7950 [4 per cell]  3 Li 2.44-2.69, 1 Ga 2.56
Li 0.2127 0.1119 0.6663 [8 per cell]  2 Li 2.66-2.69, 1 Tl 2.85
Tl 0.0000 0.3092 0.5000 [4 per cell]  10 Li 2.85-3.17
Ga 0.0000 0.0000 0.0000 [2 per cell]  4 Li 2.56-2.70


Which formula does entry 1 have? Ti2GaRuPb